(1)
Material: CePaO5
Method: DFT, PBE
State: relaxed

Geometry as POSCAR:
```
CePaO5
1.0
0.4638 -4.0836 0.0772
4.9026 -1.5668 -2.8838
4.0404 -1.5344 4.0159
Ce Pa O
1 1 5
Direct
0.0000 0.0000 0.0000 Ce
0.5000 0.5000 0.5000 Pa
0.7260 0.2740 0.2740 O
0.0000 0.3189 0.6811 O
0.5000 0.0000 0.0000 O
0.0000 0.6811 0.3189 O
0.2740 0.7260 0.7260 O
```

- total magnetic moment (μB per cell) = 0.6
- energy (eV per cell) = -60.8
- space group = Immm
- ΔE_f (raw) (eV/atom) = -2.94



(2)
Material: Ce2PaO8
Method: DFT, PBE
State: relaxed

Geometry as POSCAR:
```
Ce2PaO8
1.0
-2.8746 -2.4278 -0.7547
3.7724 -2.3057 5.1757
-4.1452 3.4142 3.9345
Ce Pa O
2 1 8
Direct
0.7586 0.5153 0.7458 Ce
0.2414 0.4847 0.2542 Ce
0.5000 0.0000 0.0000 Pa
0.4004 0.8573 0.2845 O
0.6705 0.3658 0.0626 O
0.8114 0.6025 0.4140 O
0.9728 0.8842 0.8352 O
0.1885 0.3975 0.5860 O
0.3295 0.6342 0.9375 O
0.5997 0.1427 0.7154 O
0.0272 0.1158 0.1648 O
```

- total magnetic moment (μB per cell) = 3.1
- energy (eV per cell) = -89.9
- space group = P-1
- ΔE_f (raw) (eV/atom) = -2.63